Here is a relaxed CaLa2Ga3Pd4 crystal from the Alexandria database. Energies are from PBE.

Values from the calculation:
Total moment (μB/f.u.): 0.00
Energy of formation from the pure elements (eV per formula unit): -7.64

CIF file:
```
data_CaLa2Ga3Pd4
_space_group_name_H-M_alt 'P -4 m 2'
_space_group_IT_number 115
_cell_length_a 4.311
_cell_length_b 4.311
_cell_length_c 11.531
_cell_angle_alpha 90.00
_cell_angle_beta 90.00
_cell_angle_gamma 90.00
loop_
_space_group_symop_operation_xyz
'x,y,z'
'y,-x,-z'
'-x,-y,z'
'-y,x,-z'
'-x,y,z'
'-y,-x,-z'
'x,-y,z'
'y,x,-z'
loop_
_atom_site_label
_atom_site_type_symbol
_atom_site_fract_x
_atom_site_fract_y
_atom_site_fract_z
Ca1 Ca 0.000 0.000 0.000
La1 La 0.000 0.500 0.727
Ga1 Ga 0.000 0.500 0.381
Ga2 Ga 0.500 0.500 0.000
Pd1 Pd 0.000 0.000 0.500
Pd2 Pd 0.000 0.500 0.160
Pd3 Pd 0.500 0.500 0.500
```